# Li2BeAl (PBE, relaxed)
data_Li2BeAl
_cell_length_a 7.208
_cell_length_b 7.208
_cell_length_c 4.688
_cell_angle_alpha 90.00
_cell_angle_beta 90.00
_cell_angle_gamma 90.00
_space_group_name_H-M_alt 'I -4 2 d'
_space_group_IT_number 122
_space_group_name_Hall 'I -4 2bw'
loop_
_atom_site_label
_atom_site_type_symbol
_atom_site_fract_x
_atom_site_fract_y
_atom_site_fract_z
Li1 Li 0.211 0.250 0.125
Be1 Be 0.000 0.000 0.000
Al1 Al 0.000 0.000 0.500
# Theoretical density: 1.36 g cm⁻³
# Total DFT energy (no corrections): -2.49 eV per atom